No. 1
KCa2FeO GGA-PBEsol optimized geometry; uncorrected formation energy = -453 meV per atom; space-group type = No. 123
1.0
4.675 0.000 0.000
0.000 4.675 0.000
0.000 0.000 5.295
K Ca Fe O
1 2 1 1
Direct
0.000 0.000 0.000
0.000 0.500 0.500
0.500 0.000 0.500
0.500 0.500 0.000
0.000 0.000 0.500

=====

No. 2
KCa2TiFe GGA-PBEsol optimized geometry; formation energy from the elements = 8.078 eV/f.u.; space-group type = No. 123
1.0
5.756 0.000 0.000
0.000 5.756 0.000
0.000 0.000 5.804
K Ca Ti Fe
1 2 1 1
Direct
0.000 0.000 0.000
0.000 0.500 0.500
0.500 0.000 0.500
0.000 0.000 0.500
0.500 0.500 0.000

=====

No. 3
CaLaFe3 GGA-PBEsol optimized geometry; formation energy from the elements = 7.238 eV/f.u.; space-group type = No. 221
1.0
4.744 0.000 0.000
0.000 4.744 0.000
0.000 0.000 4.744
Ca La Fe
1 1 3
Direct
0.000 0.000 0.000
0.500 0.500 0.500
0.000 0.000 0.500
0.000 0.500 0.000
0.500 0.000 0.000

=====

Copy entry 3 word for word.
CaLaFe3 GGA-PBEsol optimized geometry; formation energy from the elements = 7.238 eV/f.u.; space-group type = No. 221
1.0
4.744 0.000 0.000
0.000 4.744 0.000
0.000 0.000 4.744
Ca La Fe
1 1 3
Direct
0.000 0.000 0.000
0.500 0.500 0.500
0.000 0.000 0.500
0.000 0.500 0.000
0.500 0.000 0.000